Record 1
Density functional theory data (GGA-PBE) for an optimized crystal structure of PrNdPdPt.

## Properties
As for the formation energy: -0.880 eV/atom. Its symmetry is No. 216. For the energy above the lowest structure with this stoichiometry, the calculation gives 9.0 kJ/mol of atoms.

```
PrNdPdPt
1.0
5.133 0.000 0.000
2.567 4.445 0.000
2.567 1.482 4.191
Pr Nd Pd Pt
1 1 1 1
direct
0.000 0.000 0.000 Pr
0.500 0.500 0.500 Nd
0.750 0.750 0.750 Pd
0.250 0.250 0.250 Pt
```

***

Record 2
Density functional theory data (GGA-PBE) for an optimized crystal structure of KEu.

## Properties
As for the formation energy: 0.112 eV/atom. Its symmetry is No. 11.

```
KEu
1.0
-1.038 2.814 -2.788
-1.370 -9.462 -9.036
-3.938 -0.423 1.040
Eu K
2 2
direct
0.250 0.100 0.250 Eu
0.750 0.900 0.750 Eu
0.248 0.644 0.250 K
0.752 0.356 0.750 K
```